(1)
An optimized crystal structure of Pr3DyTh3Se8. Source: Alexandria via LeMat-Bulk, functional PBE.

Magnetic moment in μB per formula unit: 0.00
Energy relative to the elements, uncorrected in eV/atom: -1.742

abc: 8.442 8.442 8.442
angles: 59.65 59.65 59.65
Atoms (fractional coordinates):
Pr  0.000  0.500  0.500
Pr  0.500  0.000  0.500
Pr  0.500  0.500  0.000
Dy  0.500  0.500  0.500
Th  0.000  0.000  0.500
Th  0.000  0.500  0.000
Th  0.500  0.000  0.000
Se  0.249  0.249  0.249
Se  0.249  0.748  0.748
Se  0.252  0.252  0.751
Se  0.252  0.751  0.252
Se  0.748  0.249  0.748
Se  0.748  0.748  0.249
Se  0.751  0.252  0.252
Se  0.751  0.751  0.751


(2)
An optimized crystal structure of LaSm8Er2. Source: Alexandria via LeMat-Bulk, functional PBE.

ΔH_f (0 K) in meV/atom: 134.3
Polymorph energy (0 for the lowest one) in meV/atom: 20.7
Magnetic moment in μB per formula unit: 0.00

abc: 10.351 10.351 5.623
angles: 93.03 93.03 39.85
Atoms (fractional coordinates):
La  0.000  0.000  0.000
Sm  0.134  0.597  0.268
Sm  0.189  0.189  0.232
Sm  0.403  0.866  0.732
Sm  0.455  0.455  0.761
Sm  0.545  0.545  0.239
Sm  0.597  0.134  0.268
Sm  0.811  0.811  0.768
Sm  0.866  0.403  0.732
Er  0.285  0.285  0.747
Er  0.715  0.715  0.253


(3)
An optimized crystal structure of YMgB. Source: Alexandria via LeMat-Bulk, functional PBE.

ΔH_f (0 K) in meV/atom: -133.5
Polymorph energy (0 for the lowest one) in meV/atom: 142.8
Magnetic moment in μB per formula unit: 0.00

abc: 3.202 5.236 7.584
angles: 91.19 90.05 107.75
Atoms (fractional coordinates):
Y  0.000  0.000  0.000
Y  0.258  0.516  0.312
Mg  0.264  0.528  0.773
Mg  0.532  0.060  0.595
B  0.525  0.049  0.282
B  0.984  0.968  0.332


(4)
An optimized crystal structure of CaPaAgO4. Source: Alexandria via LeMat-Bulk, functional PBE.

Magnetic moment in μB per formula unit: 0.00
Energy relative to the elements, uncorrected in eV/atom: -2.599

abc: 6.900 6.900 6.900
angles: 122.10 116.82 91.00
Atoms (fractional coordinates):
Ca  0.393  0.143  0.250
Ca  0.607  0.857  0.750
Pa  0.000  0.500  0.500
Pa  0.500  0.500  0.000
Ag  0.000  0.000  0.500
Ag  0.000  0.500  0.000
O  0.218  0.715  0.503
O  0.264  0.304  0.540
O  0.264  0.724  0.960
O  0.288  0.285  0.003
O  0.712  0.715  0.997
O  0.736  0.276  0.040
O  0.736  0.696  0.460
O  0.782  0.285  0.497


(5)
An optimized crystal structure of Na8Hg6Pt. Source: Alexandria via LeMat-Bulk, functional PBE.

ΔH_f (0 K) in meV/atom: -152.4
Magnetic moment in μB per formula unit: 0.00

abc: 7.911 7.911 7.911
angles: 67.73 67.73 67.73
Atoms (fractional coordinates):
Na  0.109  0.109  0.109
Na  0.160  0.616  0.339
Na  0.339  0.160  0.616
Na  0.384  0.661  0.840
Na  0.616  0.339  0.160
Na  0.661  0.840  0.384
Na  0.840  0.384  0.661
Na  0.891  0.891  0.891
Hg  0.105  0.500  0.782
Hg  0.218  0.895  0.500
Hg  0.500  0.218  0.895
Hg  0.500  0.782  0.105
Hg  0.782  0.105  0.500
Hg  0.895  0.500  0.218
Pt  0.500  0.500  0.500


(6)
An optimized crystal structure of Ba2TcW. Source: Alexandria via LeMat-Bulk, functional PBE.

ΔH_f (0 K) in meV/atom: 1565.0
Polymorph energy (0 for the lowest one) in meV/atom: 1056.6
Magnetic moment in μB per formula unit: 0.00

abc: 4.244 4.244 11.247
angles: 90.00 90.00 90.00
Atoms (fractional coordinates):
Ba  0.000  0.500  0.250
Ba  0.000  0.500  0.750
Ba  0.500  0.000  0.250
Ba  0.500  0.000  0.750
Tc  0.000  0.000  0.000
Tc  0.500  0.500  0.500
W  0.000  0.000  0.500
W  0.500  0.500  0.000


(7)
An optimized crystal structure of AcCuCl5. Source: Alexandria via LeMat-Bulk, functional PBE.

Magnetic moment in μB per formula unit: 0.00
Energy relative to the elements, uncorrected in eV/atom: -1.518

abc: 7.035 7.035 8.963
angles: 106.07 106.07 81.00
Atoms (fractional coordinates):
Ac  0.069  0.931  0.750
Ac  0.931  0.069  0.250
Cu  0.500  0.500  0.000
Cu  0.500  0.500  0.500
Cl  0.105  0.762  0.023
Cl  0.202  0.385  0.381
Cl  0.238  0.895  0.477
Cl  0.385  0.202  0.881
Cl  0.416  0.584  0.750
Cl  0.584  0.416  0.250
Cl  0.615  0.798  0.119
Cl  0.762  0.105  0.523
Cl  0.798  0.615  0.619
Cl  0.895  0.238  0.977


(8)
An optimized crystal structure of Al2ZnCd. Source: Alexandria via LeMat-Bulk, functional PBE.

ΔH_f (0 K) in meV/atom: 94.9
Polymorph energy (0 for the lowest one) in meV/atom: 39.0
Magnetic moment in μB per formula unit: 0.00

abc: 2.959 2.959 8.139
angles: 90.00 90.00 90.00
Atoms (fractional coordinates):
Al  0.000  0.000  0.000
Al  0.500  0.500  0.249
Zn  0.500  0.500  0.777
Cd  0.000  0.000  0.519


(9)
An optimized crystal structure of SmHg2Pd6. Source: Alexandria via LeMat-Bulk, functional PBE.

ΔH_f (0 K) in meV/atom: 32.2
Polymorph energy (0 for the lowest one) in meV/atom: 413.0
Magnetic moment in μB per formula unit: 0.00

abc: 6.376 6.376 6.376
angles: 60.00 60.00 60.00
Atoms (fractional coordinates):
Sm  0.000  0.000  0.000
Hg  0.250  0.250  0.250
Hg  0.750  0.750  0.750
Pd  0.287  0.287  0.713
Pd  0.287  0.713  0.287
Pd  0.287  0.713  0.713
Pd  0.713  0.287  0.287
Pd  0.713  0.287  0.713
Pd  0.713  0.713  0.287


(10)
An optimized crystal structure of BaSrCdIr. Source: Alexandria via LeMat-Bulk, functional PBE.

ΔH_f (0 K) in meV/atom: -165.4
Polymorph energy (0 for the lowest one) in meV/atom: 48.9
Magnetic moment in μB per formula unit: 0.00

abc: 4.715 4.715 23.871
angles: 90.00 90.00 120.00
Atoms (fractional coordinates):
Ba  0.000  0.000  0.000
Ba  0.333  0.667  0.667
Ba  0.667  0.333  0.333
Sr  0.000  0.000  0.834
Sr  0.333  0.667  0.500
Sr  0.667  0.333  0.167
Cd  0.000  0.000  0.578
Cd  0.333  0.667  0.245
Cd  0.667  0.333  0.911
Ir  0.000  0.000  0.246
Ir  0.333  0.667  0.913
Ir  0.667  0.333  0.579


(11)
An optimized crystal structure of Pm2PbF8. Source: Alexandria via LeMat-Bulk, functional PBE.

Polymorph energy (0 for the lowest one) in meV/atom: 14.8
Magnetic moment in μB per formula unit: 0.00
Energy relative to the elements, uncorrected in eV/atom: -3.620

abc: 6.411 6.411 4.381
angles: 96.95 96.95 112.03
Atoms (fractional coordinates):
Pm  0.179  0.821  0.000
Pm  0.821  0.179  0.000
Pb  0.500  0.500  0.500
F  0.126  0.126  0.295
F  0.174  0.447  0.925
F  0.257  0.743  0.500
F  0.447  0.174  0.925
F  0.553  0.826  0.075
F  0.743  0.257  0.500
F  0.826  0.553  0.075
F  0.874  0.874  0.705


(12)
An optimized crystal structure of NaSn2Hg2. Source: Alexandria via LeMat-Bulk, functional PBE.

ΔH_f (0 K) in meV/atom: -71.0
Polymorph energy (0 for the lowest one) in meV/atom: 32.1
Magnetic moment in μB per formula unit: 0.00

abc: 4.561 4.561 13.790
angles: 90.00 90.00 90.00
Atoms (fractional coordinates):
Na  0.000  0.000  0.000
Na  0.500  0.500  0.500
Sn  0.000  0.500  0.250
Sn  0.000  0.500  0.750
Sn  0.500  0.000  0.250
Sn  0.500  0.000  0.750
Hg  0.000  0.000  0.399
Hg  0.000  0.000  0.601
Hg  0.500  0.500  0.101
Hg  0.500  0.500  0.899


| no. | density of states at the Fermi level (states/eV/f.u.) |
| --- | --- |
| 1 | 11.457 |
| 2 | 16.946 |
| 3 | 1.797 |
| 4 | 0.000 |
| 5 | 6.065 |
| 6 | 3.618 |
| 7 | 1.750 |
| 8 | 1.763 |
| 9 | 3.695 |
| 10 | 2.811 |
| 11 | 0.000 |
| 12 | 1.978 |